The following is a meta-GGA SCAN calculation of a crystal of La4IrRu relaxed with PBEsol, from the Alexandria database.

Values from the calculation:
E = -272.96 eV per cell
formation enthalpy at 0 K = 0.897 eV per atom
crystal system = cubic
volume = 145.7 Å³/cell

Lattice parameters (Å, degrees): 5.906 5.906 5.906 60.00 60.00 60.00
Atoms (fractional coordinates):
Ir 0.000 0.000 0.000
La 0.375 0.375 0.375
La 0.375 0.375 0.875
La 0.875 0.375 0.375
La 0.375 0.875 0.375
Ru 0.750 0.750 0.750

---

The following is a meta-GGA SCAN calculation of a crystal of La3IrRu relaxed with PBEsol, from the Alexandria database.

Values from the calculation:
E = -234.97 eV per cell
formation enthalpy at 0 K = 0.054 eV per atom
crystal system = cubic
volume = 143.1 Å³/cell

Lattice parameters (Å, degrees): 5.231 5.231 5.231 90.00 90.00 90.00
Atoms (fractional coordinates):
Ru 0.000 0.000 0.000
Ir 0.500 0.500 0.500
La 0.000 0.500 0.000
La 0.000 0.000 0.500
La 0.500 0.000 0.000

---

The following is a meta-GGA SCAN calculation of a crystal of LaIr3Ru relaxed with PBEsol, from the Alexandria database.

Values from the calculation:
E = -288.02 eV per cell
formation enthalpy at 0 K = 0.642 eV per atom
crystal system = cubic
volume = 104.0 Å³/cell

Lattice parameters (Å, degrees): 4.702 4.702 4.702 90.00 90.00 90.00
Atoms (fractional coordinates):
Ru 0.000 0.000 0.000
Ir 0.000 0.500 0.000
Ir 0.000 0.000 0.500
Ir 0.500 0.000 0.000
La 0.500 0.500 0.500

---

The following is a meta-GGA SCAN calculation of a crystal of LaIrS2 relaxed with PBEsol, from the Alexandria database.

Values from the calculation:
distance to the lowest polymorph of the same formula = 0.000 eV per atom
E = -275.06 eV per cell
crystal system = tetragonal
volume = 176.9 Å³/cell
uncorrected formation energy = -4.07 eV per formula unit

Lattice parameters (Å, degrees): 4.960 4.960 7.999 108.06 108.06 90.00
Atoms (fractional coordinates):
S 0.290 0.875 0.250
S 0.960 0.375 0.250
S 0.125 0.040 0.750
S 0.625 0.710 0.750
Ir 0.250 0.750 0.500
Ir 0.000 0.000 0.000
La 0.750 0.250 0.500
La 0.500 0.500 0.000

---

The following is a meta-GGA SCAN calculation of a crystal of LaIrS2 relaxed with PBEsol, from the Alexandria database.

Values from the calculation:
distance to the lowest polymorph of the same formula = 0.408 eV per atom
E = -135.90 eV per cell
crystal system = cubic
volume = 71.9 Å³/cell
uncorrected formation energy = -2.44 eV per formula unit

Lattice parameters (Å, degrees): 4.667 4.667 4.667 60.00 60.00 60.00
Atoms (fractional coordinates):
S 0.250 0.250 0.250
S 0.750 0.750 0.750
Ir 0.500 0.500 0.500
La 0.000 0.000 0.000

---

The following is a meta-GGA SCAN calculation of a crystal of LaSb2Ir relaxed with PBEsol, from the Alexandria database.

Values from the calculation:
E = -192.24 eV per cell
crystal system = orthorhombic
volume = 99.0 Å³/cell
uncorrected formation energy = -3.51 eV per formula unit

Lattice parameters (Å, degrees): 4.309 4.903 4.903 107.14 90.00 90.00
Atoms (fractional coordinates):
Sb 0.000 0.696 0.304
Sb 0.000 0.304 0.696
Ir 0.500 0.500 0.500
La 0.500 0.000 0.000

---

The following is a meta-GGA SCAN calculation of a crystal of LaSb4Ir relaxed with PBEsol, from the Alexandria database.

Values from the calculation:
E = -261.17 eV per cell
crystal system = cubic
volume = 152.8 Å³/cell
uncorrected formation energy = 2.08 eV per formula unit

Lattice parameters (Å, degrees): 6.000 6.000 6.000 60.00 60.00 60.00
Atoms (fractional coordinates):
Ir 0.750 0.750 0.750
La 0.000 0.000 0.000
Sb 0.376 0.376 0.376
Sb 0.376 0.376 0.872
Sb 0.872 0.376 0.376
Sb 0.376 0.872 0.376

---

The following is a meta-GGA SCAN calculation of a crystal of LaScIr4 relaxed with PBEsol, from the Alexandria database.

Values from the calculation:
E = -346.64 eV per cell
formation enthalpy at 0 K = -0.818 eV per atom
crystal system = cubic
volume = 105.3 Å³/cell

Lattice parameters (Å, degrees): 5.301 5.301 5.301 60.00 60.00 60.00
Atoms (fractional coordinates):
Sc 0.000 0.000 0.000
Ir 0.375 0.375 0.375
Ir 0.375 0.375 0.876
Ir 0.876 0.375 0.375
Ir 0.375 0.876 0.375
La 0.750 0.750 0.750

---

The following is a meta-GGA SCAN calculation of a crystal of La4ScIr relaxed with PBEsol, from the Alexandria database.

Values from the calculation:
E = -254.12 eV per cell
formation enthalpy at 0 K = 0.607 eV per atom
crystal system = cubic
volume = 163.2 Å³/cell

Lattice parameters (Å, degrees): 6.134 6.134 6.134 60.00 60.00 60.00
Atoms (fractional coordinates):
Ir 0.000 0.000 0.000
La 0.373 0.373 0.373
La 0.373 0.373 0.882
La 0.882 0.373 0.373
La 0.373 0.882 0.373
Sc 0.750 0.750 0.750

---

The following is a meta-GGA SCAN calculation of a crystal of LaSc2Ir2 relaxed with PBEsol, from the Alexandria database.

Values from the calculation:
E = -218.63 eV per cell
formation enthalpy at 0 K = -0.971 eV per atom
crystal system = tetragonal
volume = 106.7 Å³/cell

Lattice parameters (Å, degrees): 4.259 4.259 6.607 108.80 108.80 90.00
Atoms (fractional coordinates):
Sc 0.250 0.750 0.500
Sc 0.750 0.250 0.500
Ir 0.389 0.389 0.778
Ir 0.611 0.611 0.222
La 0.000 0.000 0.000

---

The following is a meta-GGA SCAN calculation of a crystal of LaIrSe2 relaxed with PBEsol, from the Alexandria database.

Values from the calculation:
distance to the lowest polymorph of the same formula = 0.534 eV per atom
E = -156.66 eV per cell
crystal system = orthorhombic
volume = 89.2 Å³/cell
uncorrected formation energy = -2.30 eV per formula unit

Lattice parameters (Å, degrees): 4.588 4.588 5.201 108.86 108.86 105.50
Atoms (fractional coordinates):
Ir 0.500 0.500 0.000
La 0.000 0.000 0.000
Se 0.500 0.000 0.500
Se 0.000 0.500 0.500

---

The following is a meta-GGA SCAN calculation of a crystal of La2IrSe relaxed with PBEsol, from the Alexandria database.

Values from the calculation:
distance to the lowest polymorph of the same formula = 0.066 eV per atom
E = -183.30 eV per cell
crystal system = tetragonal
volume = 104.9 Å³/cell
uncorrected formation energy = -5.92 eV per formula unit

Lattice parameters (Å, degrees): 4.210 4.210 5.918 90.00 90.00 90.00
Atoms (fractional coordinates):
Ir 0.500 0.500 0.876
Se 0.000 0.000 0.375
La 0.000 0.000 0.875
La 0.500 0.500 0.374

---

The following is a meta-GGA SCAN calculation of a crystal of LaIrSe2 relaxed with PBEsol, from the Alexandria database.

Values from the calculation:
distance to the lowest polymorph of the same formula = 0.000 eV per atom
E = -158.79 eV per cell
crystal system = orthorhombic
volume = 85.6 Å³/cell
uncorrected formation energy = -4.43 eV per formula unit

Lattice parameters (Å, degrees): 3.882 5.356 5.280 120.48 111.57 90.00
Atoms (fractional coordinates):
Ir 0.500 0.000 0.000
La 0.000 0.500 0.000
Se 0.813 0.813 0.627
Se 0.187 0.187 0.373

---

The following is a meta-GGA SCAN calculation of a crystal of LaIrSe2 relaxed with PBEsol, from the Alexandria database.

Values from the calculation:
distance to the lowest polymorph of the same formula = 0.518 eV per atom
E = -156.72 eV per cell
crystal system = orthorhombic
volume = 88.8 Å³/cell
uncorrected formation energy = -2.36 eV per formula unit

Lattice parameters (Å, degrees): 3.791 3.791 6.881 90.00 90.00 116.18
Atoms (fractional coordinates):
Ir 0.500 0.500 0.500
La 0.500 0.500 0.000
Se 0.000 0.000 0.290
Se 0.000 0.000 0.710

---

The following is a meta-GGA SCAN calculation of a crystal of La2IrSe relaxed with PBEsol, from the Alexandria database.

Values from the calculation:
distance to the lowest polymorph of the same formula = 0.213 eV per atom
E = -182.71 eV per cell
crystal system = monoclinic
volume = 94.6 Å³/cell
uncorrected formation energy = -5.32 eV per formula unit

Lattice parameters (Å, degrees): 3.583 3.583 7.367 90.00 90.07 90.00
Atoms (fractional coordinates):
Ir 0.500 0.500 0.500
La 0.999 0.000 0.732
La 0.001 0.000 0.268
Se 0.500 0.500 0.000

---

The following is a meta-GGA SCAN calculation of a crystal of La2IrSe relaxed with PBEsol, from the Alexandria database.

Values from the calculation:
distance to the lowest polymorph of the same formula = 0.000 eV per atom
E = -183.57 eV per cell
crystal system = trigonal
volume = 106.7 Å³/cell
uncorrected formation energy = -6.18 eV per formula unit

Lattice parameters (Å, degrees): 4.140 4.140 7.573 74.14 74.14 60.00
Atoms (fractional coordinates):
Ir 0.000 0.000 0.000
Se 0.500 0.500 0.500
La 0.258 0.258 0.226
La 0.742 0.742 0.774

---

The following is a meta-GGA SCAN calculation of a crystal of LaIr3Se relaxed with PBEsol, from the Alexandria database.

Values from the calculation:
E = -274.84 eV per cell
crystal system = cubic
volume = 100.2 Å³/cell
uncorrected formation energy = 1.65 eV per formula unit

Lattice parameters (Å, degrees): 4.645 4.645 4.645 90.00 90.00 90.00
Atoms (fractional coordinates):
Ir 0.000 0.500 0.000
Ir 0.000 0.000 0.500
Ir 0.500 0.000 0.000
Se 0.000 0.000 0.000
La 0.500 0.500 0.500

---

The following is a meta-GGA SCAN calculation of a crystal of La2IrSe relaxed with PBEsol, from the Alexandria database.

Values from the calculation:
distance to the lowest polymorph of the same formula = 0.676 eV per atom
E = -180.86 eV per cell
crystal system = trigonal
volume = 111.4 Å³/cell
uncorrected formation energy = -3.48 eV per formula unit

Lattice parameters (Å, degrees): 4.346 4.346 7.261 72.59 72.59 60.00
Atoms (fractional coordinates):
Ir 0.210 0.210 0.370
La 0.963 0.963 0.110
La 0.787 0.787 0.639
Se 0.540 0.540 0.381

---

The following is a meta-GGA SCAN calculation of a crystal of LaSi2Ir2 relaxed with PBEsol, from the Alexandria database.

Values from the calculation:
E = -422.51 eV per cell
crystal system = tetragonal
volume = 172.7 Å³/cell
uncorrected formation energy = -5.92 eV per formula unit

Lattice parameters (Å, degrees): 4.173 4.173 9.914 90.00 90.00 90.00
Atoms (fractional coordinates):
La 0.500 0.000 0.256
La 0.000 0.500 0.744
Si 0.000 0.500 0.128
Si 0.500 0.000 0.872
Si 0.000 0.000 0.500
Si 0.500 0.500 0.500
Ir 0.000 0.500 0.373
Ir 0.500 0.000 0.627
Ir 0.000 0.000 0.000
Ir 0.500 0.500 0.000

---

The following is a meta-GGA SCAN calculation of a crystal of LaSiIr relaxed with PBEsol, from the Alexandria database.

Values from the calculation:
E = -126.13 eV per cell
crystal system = tetragonal
volume = 55.7 Å³/cell
uncorrected formation energy = -1.91 eV per formula unit

Lattice parameters (Å, degrees): 3.100 3.100 6.195 104.49 104.49 90.00
Atoms (fractional coordinates):
Si 0.633 0.633 0.265
Ir 0.033 0.033 0.065
La 0.335 0.335 0.669